[1]
First-principles (PBE) data for a geometry-optimized CaMgBe2 structure, as listed in the Alexandria database.

Cell and atoms, written as POSCAR:
```
CaMgBe2
1.0
4.5787 0.0000 0.0000
0.0000 4.5787 0.0000
0.0000 0.0000 6.4942
Ca Mg Be
2 2 4
Direct
0.0000 0.0000 0.0000
0.5000 0.5000 0.5000
0.0000 0.5000 0.7500
0.5000 0.0000 0.2500
0.0000 0.0000 0.5000
0.0000 0.5000 0.2500
0.5000 0.0000 0.7500
0.5000 0.5000 0.0000
```

Uncorrected energy, eV per atom: -2.322


[2]
First-principles (PBE) data for a geometry-optimized CaMgBe2 structure, as listed in the Alexandria database.

Cell and atoms, written as POSCAR:
```
CaMgBe2
1.0
7.3928 0.0000 0.0000
0.0000 4.2307 0.0000
-2.4090 0.0000 5.1427
Ca Mg Be
2 2 4
Direct
0.0000 0.0000 0.0000
0.5000 0.5000 0.0000
0.0000 0.5000 0.5000
0.5000 0.0000 0.5000
0.1880 0.0000 0.5569
0.3120 0.5000 0.4431
0.6880 0.5000 0.5569
0.8120 0.0000 0.4431
```

Uncorrected energy, eV per atom: -2.498


[3]
First-principles (PBE) data for a geometry-optimized CaMgBe2 structure, as listed in the Alexandria database.

Cell and atoms, written as POSCAR:
```
CaMgBe2
1.0
3.0221 0.0000 0.0000
0.0000 3.0221 0.0000
0.0000 0.0000 7.6618
Ca Mg Be
1 1 2
Direct
0.0000 0.0000 0.0000
0.5000 0.5000 0.3598
0.0000 0.0000 0.6059
0.5000 0.5000 0.7189
```

Uncorrected energy, eV per atom: -2.427


[4]
First-principles (PBE) data for a geometry-optimized CaMgBe2 structure, as listed in the Alexandria database.

Cell and atoms, written as POSCAR:
```
CaMgBe2
1.0
6.5478 0.0000 0.0000
0.0000 6.5457 0.0000
-0.0122 0.0000 3.4584
Ca Mg Be
2 2 4
Direct
0.0000 0.0000 0.0000
0.5000 0.5000 0.0000
0.0000 0.5000 0.0000
0.5000 0.0000 0.0000
0.2500 0.2500 0.5000
0.2500 0.7500 0.5000
0.7500 0.2500 0.5000
0.7500 0.7500 0.5000
```

Uncorrected energy, eV per atom: -2.271


Question: What is the formula in the fourth record?
Answer: CaMgBe2


Question: Which of these has the lowest uncorrected energy?
Answer: number 2